Computed, not measured: crystalline DyNiTe2 at its relaxed geometry at the GGA-PBE level of DFT.

Calculated values
Uncorrected energy   -4.876 eV per atom
M_tot   0.59 μB per formula unit

abc: 4.0873 4.0873 6.6125
angles: 90.00 90.00 120.00
Space group P-3m1 (No. 164)
Inequivalent atoms, fractional coordinates:
Dy 0.0000 0.0000 0.0000
Ni 0.0000 0.0000 0.5000
Te 0.3333 0.6667 0.7073